#w
NaGa2Se2 (PBE-GGA, optimized geometry); symmetry = I4/mmm (139)
1.0
-2.023 2.023 7.124
2.023 -2.023 7.124
2.023 2.023 -7.124
Na Ga Se
1 2 2
Direct
0.000 0.000 0.000
0.250 0.750 0.500
0.750 0.250 0.500
0.408 0.408 0.000
0.592 0.592 0.000


#x
NaGa2Se2 (PBE-GGA, optimized geometry); symmetry = P4/mbm (127)
1.0
8.264 0.000 0.000
0.000 8.264 0.000
0.000 0.000 3.824
Na Ga Se
2 4 4
Direct
0.000 0.000 0.000
0.500 0.500 0.000
0.105 0.395 0.500
0.395 0.895 0.500
0.605 0.105 0.500
0.895 0.605 0.500
0.240 0.260 0.000
0.260 0.760 0.000
0.740 0.240 0.000
0.760 0.740 0.000


Most stable to least stable: #x, #w


#w
NaGaSe3 (PBE-GGA, optimized geometry); symmetry = Pm-3m (221)
1.0
5.293 0.000 0.000
0.000 5.293 0.000
0.000 0.000 5.293
Na Ga Se
1 1 3
Direct
0.000 0.000 0.000
0.500 0.500 0.500
0.000 0.000 0.500
0.000 0.500 0.000
0.500 0.000 0.000


#x
NaGaSe3 (PBE-GGA, optimized geometry); symmetry = Pm-3m (221)
1.0
5.083 0.000 0.000
0.000 5.083 0.000
0.000 0.000 5.083
Na Ga Se
1 1 3
Direct
0.000 0.000 0.000
0.500 0.500 0.500
0.000 0.500 0.500
0.500 0.000 0.500
0.500 0.500 0.000


Most stable to least stable: #x, #w


#w
Na2GaSi (PBE-GGA, optimized geometry); symmetry = Fm-3m (225)
1.0
0.000 3.511 3.511
3.511 0.000 3.511
3.511 3.511 0.000
Na Ga Si
2 1 1
Direct
0.250 0.250 0.250
0.750 0.750 0.750
0.000 0.000 0.000
0.500 0.500 0.500


#x
Na2GaSi (PBE-GGA, optimized geometry); symmetry = I-42d (122)
1.0
-2.019 2.019 10.672
2.019 -2.019 10.672
2.019 2.019 -10.672
Na Ga Si
4 2 2
Direct
0.119 0.625 0.994
0.375 0.369 0.494
0.631 0.125 0.006
0.875 0.881 0.506
0.250 0.750 0.500
0.500 0.500 0.000
0.000 0.000 0.000
0.750 0.250 0.500


Most stable to least stable: #w, #x


#w
Na3GaSi (PBE-GGA, optimized geometry); symmetry = C2/m (12)
1.0
5.311 -4.681 0.000
5.311 4.681 0.000
-4.619 0.000 5.637
Na Ga Si
6 2 2
Direct
0.051 0.051 0.273
0.090 0.473 0.812
0.473 0.090 0.812
0.527 0.910 0.188
0.910 0.527 0.188
0.949 0.949 0.727
0.417 0.417 0.596
0.583 0.583 0.404
0.287 0.287 0.161
0.713 0.713 0.839


#x
Na3GaSi (PBE-GGA, optimized geometry); symmetry = Pm-3m (221)
1.0
5.539 0.000 0.000
0.000 5.539 0.000
0.000 0.000 5.539
Na Ga Si
3 1 1
Direct
0.000 0.000 0.500
0.000 0.500 0.000
0.500 0.000 0.000
0.500 0.500 0.500
0.000 0.000 0.000


Most stable to least stable: #w, #x


#w
NaGa4Sn2 (PBE-GGA, optimized geometry); symmetry = Cmmm (65)
1.0
2.533 -7.885 0.000
2.533 7.885 0.000
0.000 0.000 4.334
Na Ga Sn
1 4 2
Direct
0.000 0.000 0.000
0.182 0.818 0.500
0.288 0.712 0.000
0.712 0.288 0.000
0.818 0.182 0.500
0.406 0.594 0.500
0.594 0.406 0.500


#x
NaGa4Sn2 (PBE-GGA, optimized geometry); symmetry = P-1 (2)
1.0
5.171 0.000 0.000
-2.582 4.615 0.000
-0.006 -0.156 6.949
Na Ga Sn
1 4 2
Direct
0.000 0.000 0.000
0.128 0.270 0.454
0.339 0.686 0.182
0.661 0.314 0.818
0.872 0.730 0.546
0.345 0.683 0.760
0.655 0.317 0.240


Most stable to least stable: #w, #x


#w
Na2Ga2Sn3 (PBE-GGA, optimized geometry); symmetry = Cmmm (65)
1.0
2.399 -10.699 0.000
2.399 10.699 0.000
0.000 0.000 3.333
Na Ga Sn
2 2 3
Direct
0.157 0.843 0.000
0.843 0.157 0.000
0.281 0.719 0.500
0.719 0.281 0.500
0.000 0.000 0.000
0.422 0.578 0.500
0.578 0.422 0.500


#x
Na2Ga2Sn3 (PBE-GGA, optimized geometry); symmetry = Cmcm (63)
1.0
2.636 -10.136 0.000
2.636 10.136 0.000
0.000 0.000 7.062
Na Ga Sn
4 4 6
Direct
0.034 0.966 0.750
0.151 0.849 0.250
0.849 0.151 0.750
0.966 0.034 0.250
0.298 0.702 0.053
0.298 0.702 0.447
0.702 0.298 0.553
0.702 0.298 0.947
0.205 0.795 0.750
0.430 0.570 0.546
0.430 0.570 0.954
0.570 0.430 0.046
0.570 0.430 0.454
0.795 0.205 0.250


Most stable to least stable: #x, #w


#w
Na3GaSn (PBE-GGA, optimized geometry); symmetry = Pm-3m (221)
1.0
5.497 0.000 0.000
0.000 5.497 0.000
0.000 0.000 5.497
Na Ga Sn
3 1 1
Direct
0.000 0.000 0.500
0.000 0.500 0.000
0.500 0.000 0.000
0.000 0.000 0.000
0.500 0.500 0.500


#x
Na3GaSn (PBE-GGA, optimized geometry); symmetry = C2/m (12)
1.0
5.644 -4.835 0.000
5.644 4.835 0.000
-4.669 0.000 5.609
Na Ga Sn
6 2 2
Direct
0.059 0.059 0.290
0.084 0.489 0.807
0.489 0.084 0.807
0.511 0.916 0.193
0.916 0.511 0.193
0.941 0.941 0.710
0.266 0.266 0.122
0.734 0.734 0.878
0.422 0.422 0.617
0.578 0.578 0.383


Most stable to least stable: #x, #w


#w
NaGa3Sn3 (PBE-GGA, optimized geometry); symmetry = Pm-3n (223)
1.0
7.665 0.000 0.000
0.000 7.665 0.000
0.000 0.000 7.665
Na Ga Sn
2 6 6
Direct
0.000 0.000 0.000
0.500 0.500 0.500
0.000 0.250 0.500
0.000 0.750 0.500
0.250 0.500 0.000
0.500 0.000 0.250
0.500 0.000 0.750
0.750 0.500 0.000
0.000 0.500 0.250
0.000 0.500 0.750
0.250 0.000 0.500
0.500 0.250 0.000
0.500 0.750 0.000
0.750 0.000 0.500


#x
NaGa3Sn3 (PBE-GGA, optimized geometry); symmetry = R-3 (148)
1.0
4.133 2.386 6.394
-4.133 2.386 6.394
0.000 -4.773 6.394
Na Ga Sn
2 6 6
Direct
0.167 0.167 0.167
0.833 0.833 0.833
0.077 0.749 0.413
0.251 0.587 0.923
0.413 0.077 0.749
0.587 0.923 0.251
0.749 0.413 0.077
0.923 0.251 0.587
0.081 0.407 0.735
0.265 0.919 0.593
0.407 0.735 0.081
0.593 0.265 0.919
0.735 0.081 0.407
0.919 0.593 0.265


Most stable to least stable: #x, #w